The following is a PBE-GGA calculation of a relaxed structure of RbDy2AgO4, from Alexandria via LeMat-Bulk.

Structure (POSCAR):
```
RbDy2AgO4
1.0
3.5636 0.0000 0.0000
-1.7818 5.9801 0.0000
0.0000 0.0000 12.5251
O Dy Rb Ag
8 4 2 2
direct
0.0000 0.0000 0.5000
0.5764 0.1529 0.2500
0.0000 0.0000 0.0000
0.2504 0.5008 0.4176
0.7496 0.4992 0.5824
0.4236 0.8471 0.7500
0.2504 0.5008 0.0824
0.7496 0.4992 0.9176
0.3663 0.7326 0.9411
0.6337 0.2674 0.0589
0.3663 0.7326 0.5589
0.6337 0.2674 0.4411
0.9108 0.8216 0.2500
0.0892 0.1784 0.7500
0.1942 0.3884 0.2500
0.8058 0.6116 0.7500
```


The following is a PBE-GGA calculation of a relaxed structure of Dy3Ag3RhO8, from Alexandria via LeMat-Bulk.

Structure (POSCAR):
```
Dy3Ag3RhO8
1.0
-3.9408 -5.4459 -0.7205
6.6921 -0.5434 -0.7755
-2.6058 1.0480 6.3308
O Ag Dy Rh
8 3 3 1
direct
0.7848 0.0241 0.3097
0.2703 0.5407 0.3118
0.2151 0.4302 0.6901
0.7297 0.4593 0.6882
0.7607 0.9759 0.6903
0.7849 0.5698 0.3099
0.2393 0.0241 0.3097
0.2152 0.9759 0.6903
0.0000 0.0000 0.0000
0.5000 0.5000 0.0000
0.0000 0.5000 0.0000
0.0000 0.5000 0.5000
0.5000 0.5000 0.5000
0.5000 0.0000 0.5000
0.0000 0.0000 0.5000
```


The following is a PBE-GGA calculation of a relaxed structure of DyAgS2O8, from Alexandria via LeMat-Bulk.

Structure (POSCAR):
```
DyAgS2O8
1.0
-2.9041 2.9023 2.9794
-0.1351 -0.8363 5.0016
4.7657 5.4871 3.6188
Ag O S Dy
1 8 2 1
direct
0.5000 0.5000 0.5000
0.5555 0.2612 0.1805
0.0028 0.5555 0.1805
0.2612 0.0028 0.1805
0.8147 0.8147 0.5559
0.1853 0.1853 0.4441
0.7388 0.9972 0.8195
0.9972 0.4445 0.8195
0.4445 0.7388 0.8195
0.2496 0.2496 0.2513
0.7504 0.7504 0.7487
0.0000 0.0000 0.0000
```


The following is a PBE-GGA calculation of a relaxed structure of DyAgSeO, from Alexandria via LeMat-Bulk.

Structure (POSCAR):
```
DyAgSeO
1.0
4.0096 0.0000 0.0000
2.0048 3.4724 0.0000
2.0048 1.1575 10.9244
Dy O Se Ag
2 2 2 2
direct
0.3754 0.3754 0.8737
0.6246 0.6246 0.1263
0.3076 0.3076 0.0772
0.6924 0.6924 0.9228
0.1005 0.1005 0.6986
0.8995 0.8995 0.3014
0.1918 0.1918 0.4247
0.8082 0.8082 0.5753
```


The following is a PBE-GGA calculation of a relaxed structure of SrDyAg2O4, from Alexandria via LeMat-Bulk.

Structure (POSCAR):
```
SrDyAg2O4
1.0
-4.4959 3.6049 1.9906
-4.2470 -1.7936 2.9927
-0.1294 2.2182 5.0272
Sr O Ag Dy
1 4 2 1
direct
0.0000 0.0000 0.0000
0.4803 0.5198 0.9043
0.0956 0.9043 0.5198
0.9044 0.4802 0.0957
0.5197 0.0957 0.4802
0.2497 0.2503 0.2503
0.7503 0.7497 0.7497
0.5000 0.5000 0.5000
```


The following is a PBE-GGA calculation of a relaxed structure of DyTc2AgO8, from Alexandria via LeMat-Bulk.

Structure (POSCAR):
```
DyTc2AgO8
1.0
-1.3255 -4.5277 3.7678
5.5333 0.4270 -2.3778
1.9206 3.7116 5.1358
O Dy Tc Ag
8 1 2 1
direct
0.1691 0.8298 0.7102
0.8309 0.1702 0.2898
0.6608 0.8309 0.7102
0.8298 0.6608 0.2898
0.3392 0.1691 0.2898
0.3333 0.6667 0.0588
0.1702 0.3392 0.7102
0.6667 0.3333 0.9412
0.0000 0.0000 0.5000
0.3333 0.6667 0.7968
0.6667 0.3333 0.2032
0.0000 0.0000 0.0000
```


Asked for ΔE_f (raw) across the records above, the calculation gives -2.30 -1.79 -1.72 -1.89 -1.74 -1.61 eV/atom in order.